Record 1
TaSi2AsP: PBEsol geometry, meta-GGA SCAN. Values from VASP.

Summary:
crystal system	tetragonal
total magnetization	0.0	μB/cell
formation energy (no corrections)	7.76	eV per formula unit

Structure (Quantum ESPRESSO input):
```
&SYSTEM
  ibrav = 0, nat = 5, ntyp = 4
/
ATOMIC_SPECIES
As 74.92 As.upf
Si 28.09 Si.upf
P 30.97 P.upf
Ta 180.95 Ta.upf
CELL_PARAMETERS angstrom
-2.8497 -3.5183 0.5610
0.1467 -0.8337 -4.4830
3.8026 -2.9720 0.6772
ATOMIC_POSITIONS crystal
As 0.0000 0.0000 0.0000
Si 0.5000 0.0000 0.0000
Si 0.0000 0.5000 0.0000
P 0.5000 0.5000 0.5000
Ta 0.0000 0.0000 0.5000
```

---

Record 2
Tl2RhF: PBEsol geometry, meta-GGA SCAN. Values from VASP.

Summary:
crystal system	cubic
total magnetization	0.0	μB/cell
formation energy (no corrections)	-1.53	eV per formula unit

Structure (Quantum ESPRESSO input):
```
&SYSTEM
  ibrav = 0, nat = 4, ntyp = 3
/
ATOMIC_SPECIES
Tl 204.38 Tl.upf
F 19.00 F.upf
Rh 102.91 Rh.upf
CELL_PARAMETERS angstrom
-0.0746 -3.9062 -2.5019
1.6173 -3.9502 1.8178
-2.9371 -3.4136 1.1157
ATOMIC_POSITIONS crystal
Tl 0.7500 0.7500 0.7500
Tl 0.2500 0.2500 0.2500
F 0.0000 0.0000 0.0000
Rh 0.5000 0.5000 0.5000
```

---

| no. | raw total energy (eV per atom) | calculated density (g cm⁻³) |
| --- | --- | --- |
| 1 | -21.889 | 5.6 |
| 2 | -45.890 | 12.5 |